Compound: TbCeZr
Source: Alexandria
Functional: PBE
Structure: relaxed

Unit cell a=7.883 b=7.883 c=7.883 alpha=155.73 beta=155.73 gamma=34.59
Fractional coordinates of all 3 atoms:
Tb1 0.000 0.000 0.000
Ce1 0.682 0.682 0.000
Zr1 0.340 0.340 0.000

Space group = No. 107
Energy relative to the lowest polymorph listed for this composition = 0.008 eV/atom
E = -6.2587 eV/atom
E_form = 0.1120 eV/atom